VASP calculation (PBE) on a relaxed RbDyMnCl6 crystal.

volume: 30.50 Å³/atom
VASP energy: -80.13 eV per cell
formation energy from raw total energies: -14.25 eV per formula unit
DOS at the Fermi energy: 17.772 states/eV per cell

a = 6.4914 Å, b = 6.4914 Å, c = 15.0427 Å
α = 90.00°, β = 90.00°, γ = 120.00°
Space group P-31c (No. 163)
Asymmetric unit:
Rb 0.0000 0.0000 0.0000 [2 per cell]
Dy 0.3333 0.6667 0.2500 [2 per cell]
Mn 0.3333 0.6667 0.7500 [2 per cell]
Cl 0.0318 0.3818 0.6546 [12 per cell]